Record 1
Material: TbAl3Ni2
Method: DFT, meta-GGA SCAN
State: single point on PBEsol structure

a b c (Å): 5.214 5.214 3.951
angles (deg): 90.00 90.00 120.00
Fractional positions:
Tb 0.000 0.000 0.000
Al 0.000 0.500 0.500
Al 0.500 0.000 0.500
Al 0.500 0.500 0.500
Ni 0.333 0.667 0.000
Ni 0.667 0.333 0.000

Properties
Fermi-level density of states ... 3.26 states/eV/cell
Raw total energy ... -17.748 eV/atom
Total moment ... 0.02 μB per formula unit



Record 2
Material: TbAlNi4
Method: DFT, meta-GGA SCAN
State: single point on PBEsol structure

a b c (Å): 4.838 4.838 3.971
angles (deg): 90.00 90.00 118.65
Fractional positions:
Tb 0.000 0.000 0.000
Al 0.500 0.500 0.500
Ni 0.000 0.500 0.500
Ni 0.330 0.670 0.000
Ni 0.500 0.000 0.500
Ni 0.670 0.330 0.000

Properties
Fermi-level density of states ... 2.99 states/eV/cell
Raw total energy ... -20.412 eV/atom
Total moment ... 0.00 μB per formula unit